# 1
Entry from Alexandria: KLaH2S2O9 after structural relaxation (PBEsol).

```
data_KLaH2S2O9
_chemical_formula_sum 'K3 La3 H6 S6 O27'
_space_group_name_H-M_alt 'P 32 2 1'
_space_group_IT_number 154
_cell_length_a 7.1626
_cell_length_b 7.1626
_cell_length_c 13.1869
_cell_angle_alpha 90.00
_cell_angle_beta 90.00
_cell_angle_gamma 120.00
loop_
_space_group_symop_operation_xyz
'x,y,z'
'-y,x-y,z+2/3'
'-x+y,-x,z+1/3'
'y,x,-z'
'x-y,-y,-z+1/3'
'-x,-x+y,-z+2/3'
loop_
_atom_site_label
_atom_site_type_symbol
_atom_site_fract_x
_atom_site_fract_y
_atom_site_fract_z
K1 K 0.0000 0.4491 0.3333
La1 La 0.0000 0.4329 0.8333
H1 H 0.0441 0.9554 0.4569
S1 S 0.0055 0.4417 0.5926
O1 O 0.0000 0.0813 0.8333
O2 O 0.1147 0.6242 0.6652
O3 O 0.1191 0.3651 0.0098
O4 O 0.1374 0.6138 0.1428
O5 O 0.1638 0.4155 0.5305
```

DOS(E_F)	0.000	states/eV/f.u.
DFT total energy	-294.0	eV per cell

=====

# 2
Entry from Alexandria: KLiH4S2N2O6 after structural relaxation (PBEsol).

```
data_KLiH4S2N2O6
_chemical_formula_sum 'K2 Li2 H8 S4 N4 O12'
_space_group_name_H-M_alt 'P 1 21 1'
_space_group_IT_number 4
_cell_length_a 5.1962
_cell_length_b 8.3897
_cell_length_c 8.7736
_cell_angle_alpha 90.00
_cell_angle_beta 105.98
_cell_angle_gamma 90.00
loop_
_space_group_symop_operation_xyz
'x,y,z'
'-x,y+1/2,-z'
loop_
_atom_site_label
_atom_site_type_symbol
_atom_site_fract_x
_atom_site_fract_y
_atom_site_fract_z
K1 K 0.2184 0.0000 0.0380
Li1 Li 0.0983 0.3075 0.6573
H1 H 0.3289 0.4469 0.4376
H2 H 0.3510 0.0207 0.5243
H3 H 0.4404 0.6571 0.6256
H4 H 0.4826 0.8022 0.7720
S1 S 0.0780 0.6911 0.7070
S2 S 0.3610 0.6243 0.2552
N1 N 0.4017 0.6914 0.7319
N2 N 0.4472 0.5466 0.4356
O1 O 0.0073 0.0240 0.3252
O2 O 0.0362 0.7507 0.8539
O3 O 0.0541 0.2922 0.4305
O4 O 0.0764 0.6633 0.2281
O5 O 0.4049 0.5070 0.1410
O6 O 0.4744 0.2676 0.7366
```

DOS(E_F)	0.000	states/eV/f.u.
DFT total energy	-186.0	eV per cell

=====

# 3
Entry from Alexandria: KLiH2WO5 after structural relaxation (PBEsol).

```
data_KLiH2WO5
_chemical_formula_sum 'K8 Li8 H16 W8 O40'
_space_group_name_H-M_alt 'P b c a'
_space_group_IT_number 61
_cell_length_a 7.6607
_cell_length_b 12.7477
_cell_length_c 10.6416
_cell_angle_alpha 90.00
_cell_angle_beta 90.00
_cell_angle_gamma 90.00
loop_
_space_group_symop_operation_xyz
'x,y,z'
'-x,-y,-z'
'-x+1/2,-y,z+1/2'
'x+1/2,y,-z+1/2'
'x+1/2,-y+1/2,-z'
'-x+1/2,y+1/2,z'
'-x,y+1/2,-z+1/2'
'x,-y+1/2,z+1/2'
loop_
_atom_site_label
_atom_site_type_symbol
_atom_site_fract_x
_atom_site_fract_y
_atom_site_fract_z
K1 K 0.1860 0.1333 0.1968
Li1 Li 0.0087 0.1747 0.9327
H1 H 0.1643 0.5288 0.4419
H2 H 0.2422 0.1380 0.4711
W1 W 0.0640 0.6227 0.8708
O1 O 0.0344 0.0012 0.6668
O2 O 0.0674 0.1944 0.5176
O3 O 0.0826 0.7012 0.7318
O4 O 0.1424 0.6064 0.4442
O5 O 0.2222 0.0979 0.9349
```

DOS(E_F)	0.000	states/eV/f.u.
DFT total energy	-546.8	eV per cell

=====

Copy entry 3 word for word.
Entry from Alexandria: KLiH2WO5 after structural relaxation (PBEsol).

```
data_KLiH2WO5
_chemical_formula_sum 'K8 Li8 H16 W8 O40'
_space_group_name_H-M_alt 'P b c a'
_space_group_IT_number 61
_cell_length_a 7.6607
_cell_length_b 12.7477
_cell_length_c 10.6416
_cell_angle_alpha 90.00
_cell_angle_beta 90.00
_cell_angle_gamma 90.00
loop_
_space_group_symop_operation_xyz
'x,y,z'
'-x,-y,-z'
'-x+1/2,-y,z+1/2'
'x+1/2,y,-z+1/2'
'x+1/2,-y+1/2,-z'
'-x+1/2,y+1/2,z'
'-x,y+1/2,-z+1/2'
'x,-y+1/2,z+1/2'
loop_
_atom_site_label
_atom_site_type_symbol
_atom_site_fract_x
_atom_site_fract_y
_atom_site_fract_z
K1 K 0.1860 0.1333 0.1968
Li1 Li 0.0087 0.1747 0.9327
H1 H 0.1643 0.5288 0.4419
H2 H 0.2422 0.1380 0.4711
W1 W 0.0640 0.6227 0.8708
O1 O 0.0344 0.0012 0.6668
O2 O 0.0674 0.1944 0.5176
O3 O 0.0826 0.7012 0.7318
O4 O 0.1424 0.6064 0.4442
O5 O 0.2222 0.0979 0.9349
```

DOS(E_F)	0.000	states/eV/f.u.
DFT total energy	-546.8	eV per cell

=====

Which formula does entry 2 have?
KLiH4S2N2O6